1.
Compound: La6Zn5Cd
Source: Alexandria
Functional: PBE
Structure: optimized geometry

CIF file:
```
data_La6Zn5Cd
_symmetry_space_group_name_H-M 'P 1 2/m 1'
_symmetry_Int_Tables_number 10
_cell_length_a 5.355
_cell_length_b 7.595
_cell_length_c 8.473
_cell_angle_alpha 90.00
_cell_angle_beta 108.34
_cell_angle_gamma 90.00
loop_
_symmetry_equiv_pos_as_xyz
'x,y,z'
'-x,-y,-z'
'-x,y,-z'
'x,-y,z'
loop_
_atom_site_label
_atom_site_fract_x
_atom_site_fract_y
_atom_site_fract_z
La1 0.000 0.239 0.000
La2 0.329 0.244 0.659
Zn1 0.165 0.500 0.329
Zn2 0.166 0.000 0.331
Zn3 0.500 0.000 0.000
Cd1 0.500 0.500 0.000
```

2.
# La2ZnCd2, optimized geometry, DFT PBE
# Relative energy among the computed polymorphs = 184 meV per atom
data_La2ZnCd2
_symmetry_space_group_name_H-M 'P 4/m b m'
_symmetry_Int_Tables_number 127
_symmetry_space_group_name_Hall '-P 4 2ab'
_cell_length_a 9.183
_cell_length_b 9.183
_cell_length_c 3.621
_cell_angle_alpha 90.00
_cell_angle_beta 90.00
_cell_angle_gamma 90.00
loop_
_atom_site_label
_atom_site_fract_x
_atom_site_fract_y
_atom_site_fract_z
La1 0.179 0.321 0.000
Zn1 0.000 0.000 0.000
Cd1 0.117 0.617 0.500

3.
# La2ZnCd, optimized geometry, DFT PBE
# Relative energy among the computed polymorphs = 133 meV per atom
data_La2ZnCd
_symmetry_space_group_name_H-M 'I -4 m 2'
_symmetry_Int_Tables_number 119
_symmetry_space_group_name_Hall 'I -4 -2'
_cell_length_a 4.621
_cell_length_b 4.621
_cell_length_c 10.378
_cell_angle_alpha 90.00
_cell_angle_beta 90.00
_cell_angle_gamma 90.00
loop_
_atom_site_label
_atom_site_fract_x
_atom_site_fract_y
_atom_site_fract_z
La1 0.000 0.000 0.000
La2 0.000 0.500 0.250
Zn1 0.000 0.500 0.750
Cd1 0.000 0.000 0.500

4.
Compound: La6Zn2Cd
Source: Alexandria
Functional: PBE
Structure: optimized geometry

CIF file:
```
data_La6Zn2Cd
_symmetry_space_group_name_H-M 'I m m m'
_symmetry_Int_Tables_number 71
_symmetry_space_group_name_Hall '-I 2 2'
_cell_length_a 10.110
_cell_length_b 10.381
_cell_length_c 10.751
_cell_angle_alpha 90.00
_cell_angle_beta 90.00
_cell_angle_gamma 90.00
loop_
_atom_site_label
_atom_site_fract_x
_atom_site_fract_y
_atom_site_fract_z
La1 0.000 0.221 0.182
La2 0.187 0.229 0.500
La3 0.205 0.500 0.253
Zn1 0.000 0.000 0.380
Zn2 0.132 0.000 0.000
Cd1 0.000 0.500 0.000
Cd2 0.000 0.500 0.500
```

5.
Compound: La5Zn3Cd
Source: Alexandria
Functional: PBE
Structure: optimized geometry

CIF file:
```
data_La5Zn3Cd
_symmetry_space_group_name_H-M 'C m c m'
_symmetry_Int_Tables_number 63
_symmetry_space_group_name_Hall '-C 2c 2'
_cell_length_a 16.138
_cell_length_b 9.329
_cell_length_c 6.903
_cell_angle_alpha 90.00
_cell_angle_beta 90.00
_cell_angle_gamma 90.00
loop_
_atom_site_label
_atom_site_fract_x
_atom_site_fract_y
_atom_site_fract_z
La1 0.000 0.193 0.250
La2 0.154 0.346 0.750
La3 0.167 0.000 0.000
Zn1 0.000 0.144 0.750
Zn2 0.178 0.322 0.250
Cd1 0.000 0.500 0.000
```

6.
# La6ZnCd2, optimized geometry, DFT PBE
# Relative energy among the computed polymorphs = 0 meV per atom
data_La6ZnCd2
_symmetry_space_group_name_H-M 'P -3 m 1'
_symmetry_Int_Tables_number 164
_symmetry_space_group_name_Hall '-P 3 2"'
_cell_length_a 5.6043
_cell_length_b 5.6043
_cell_length_c 10.5568
_cell_angle_alpha 90.00
_cell_angle_beta 90.00
_cell_angle_gamma 120.00
loop_
_atom_site_label
_atom_site_fract_x
_atom_site_fract_y
_atom_site_fract_z
La1 0.0000 0.0000 0.1860
La2 0.3333 0.6667 0.0223
La3 0.3333 0.6667 0.3958
Zn1 0.0000 0.0000 0.5000
Cd1 0.3333 0.6667 0.7122

7.
# La6ZnCd, optimized geometry, DFT PBE
# Relative energy among the computed polymorphs = 74 meV per atom
data_La6ZnCd
_symmetry_space_group_name_H-M 'P -1'
_symmetry_Int_Tables_number 2
_cell_length_a 6.383
_cell_length_b 6.398
_cell_length_c 6.407
_cell_angle_alpha 94.73
_cell_angle_beta 94.74
_cell_angle_gamma 94.91
loop_
_symmetry_equiv_pos_as_xyz
'x,y,z'
'-x,-y,-z'
loop_
_atom_site_label
_atom_site_fract_x
_atom_site_fract_y
_atom_site_fract_z
La1 0.039 0.257 0.064
La2 0.243 0.937 0.458
La3 0.437 0.459 0.743
Zn1 0.000 0.500 0.500
Cd1 0.500 0.000 0.000

8.
# La2ZnCd3, optimized geometry, DFT PBE
# Relative energy among the computed polymorphs = 0 meV per atom
data_La2ZnCd3
_symmetry_space_group_name_H-M 'P m m 2'
_symmetry_Int_Tables_number 25
_cell_length_a 3.538
_cell_length_b 5.057
_cell_length_c 8.706
_cell_angle_alpha 90.00
_cell_angle_beta 90.00
_cell_angle_gamma 90.00
loop_
_symmetry_equiv_pos_as_xyz
'x,y,z'
'-x,-y,z'
'-x,y,z'
'x,-y,z'
loop_
_atom_site_label
_atom_site_fract_x
_atom_site_fract_y
_atom_site_fract_z
La1 0.000 0.000 0.000
La2 0.000 0.500 0.483
Zn1 0.500 0.000 0.326
Cd1 0.500 0.000 0.652
Cd2 0.500 0.500 0.161
Cd3 0.500 0.500 0.823

9.
# LaZnCd3, optimized geometry, DFT PBE
# Relative energy among the computed polymorphs = 1058 meV per atom
data_LaZnCd3
_symmetry_space_group_name_H-M 'P m -3 m'
_symmetry_Int_Tables_number 221
_symmetry_space_group_name_Hall '-P 4 2 3'
_cell_length_a 6.352
_cell_length_b 6.352
_cell_length_c 6.352
_cell_angle_alpha 90.00
_cell_angle_beta 90.00
_cell_angle_gamma 90.00
loop_
_atom_site_label
_atom_site_fract_x
_atom_site_fract_y
_atom_site_fract_z
La1 0.000 0.000 0.000
Zn1 0.500 0.500 0.500
Cd1 0.000 0.000 0.500

10.
Compound: LaZnCd2
Source: Alexandria
Functional: PBE
Structure: optimized geometry

CIF file:
```
data_LaZnCd2
_symmetry_space_group_name_H-M 'C 1 2/m 1'
_symmetry_Int_Tables_number 12
_cell_length_a 6.119
_cell_length_b 11.493
_cell_length_c 3.219
_cell_angle_alpha 90.00
_cell_angle_beta 115.82
_cell_angle_gamma 90.00
loop_
_symmetry_equiv_pos_as_xyz
'x,y,z'
'-x,-y,-z'
'-x,y,-z'
'x,-y,z'
'x+1/2,y+1/2,z'
'-x+1/2,-y+1/2,-z'
'-x+1/2,y+1/2,-z'
'x+1/2,-y+1/2,z'
loop_
_atom_site_label
_atom_site_fract_x
_atom_site_fract_y
_atom_site_fract_z
La1 0.000 0.000 0.000
Zn1 0.000 0.500 0.000
Cd1 0.250 0.250 0.500
```

11.
# La2ZnCd, optimized geometry, DFT PBE
# Relative energy among the computed polymorphs = 223 meV per atom
data_La2ZnCd
_symmetry_space_group_name_H-M 'C 1 2/m 1'
_symmetry_Int_Tables_number 12
_cell_length_a 10.087
_cell_length_b 3.751
_cell_length_c 6.588
_cell_angle_alpha 90.00
_cell_angle_beta 102.16
_cell_angle_gamma 90.00
loop_
_symmetry_equiv_pos_as_xyz
'x,y,z'
'-x,-y,-z'
'-x,y,-z'
'x,-y,z'
'x+1/2,y+1/2,z'
'-x+1/2,-y+1/2,-z'
'-x+1/2,y+1/2,-z'
'x+1/2,-y+1/2,z'
loop_
_atom_site_label
_atom_site_fract_x
_atom_site_fract_y
_atom_site_fract_z
La1 0.246 0.000 0.233
Zn1 0.000 0.500 0.000
Cd1 0.000 0.000 0.500

12.
# La2ZnCd2, optimized geometry, DFT PBE
# Relative energy among the computed polymorphs = 20 meV per atom
data_La2ZnCd2
_symmetry_space_group_name_H-M 'P -1'
_symmetry_Int_Tables_number 2
_cell_length_a 5.447
_cell_length_b 6.945
_cell_length_c 8.269
_cell_angle_alpha 113.39
_cell_angle_beta 104.83
_cell_angle_gamma 90.10
loop_
_symmetry_equiv_pos_as_xyz
'x,y,z'
'-x,-y,-z'
loop_
_atom_site_label
_atom_site_fract_x
_atom_site_fract_y
_atom_site_fract_z
La1 0.151 0.003 0.238
La2 0.339 0.270 0.746
Zn1 0.254 0.768 0.505
Cd1 0.118 0.436 0.153
Cd2 0.390 0.787 0.857

Number 1: formation energy -0.312 eV per atom. Number 2: formation energy -0.039 eV per atom. Number 3: formation energy -0.196 eV per atom. Number 4: formation energy -0.170 eV per atom. Number 5: formation energy -0.181 eV per atom. Number 6: formation energy -0.173 eV per atom. Number 7: formation energy -0.077 eV per atom. Number 8: formation energy -0.352 eV per atom. Number 9: formation energy 0.786 eV per atom. Number 10: formation energy -0.026 eV per atom. Number 11: formation energy -0.106 eV per atom. Number 12: formation energy -0.203 eV per atom.